[1]
The following is a GGA-PBE calculation of a relaxed KSr3Pt8 crystal, from Alexandria.

Cell and atoms, written as CIF:
```
data_KSr3Pt8
_cell_length_a 5.5712
_cell_length_b 5.5712
_cell_length_c 27.1601
_cell_angle_alpha 90.00
_cell_angle_beta 90.00
_cell_angle_gamma 120.00
_space_group_name_H-M_alt 'R 3 m'
_space_group_IT_number 160
_space_group_name_Hall 'R 3 -2"'
loop_
_atom_site_label
_atom_site_type_symbol
_atom_site_fract_x
_atom_site_fract_y
_atom_site_fract_z
K1 K 0.0000 0.0000 0.0000
Sr1 Sr 0.0000 0.0000 0.3712
Sr2 Sr 0.0000 0.0000 0.4984
Sr3 Sr 0.0000 0.0000 0.8776
Pt1 Pt 0.0000 0.0000 0.1867
Pt2 Pt 0.0000 0.0000 0.6867
Pt3 Pt 0.0017 0.5009 0.4378
Pt4 Pt 0.1676 0.3353 0.2689
```

Summary:
- Energy of formation: -8.842 eV/f.u.
- Fermi-level density of states: 16.5 states/eV/cell

=====

[2]
The following is a GGA-PBE calculation of a relaxed LiCrHg2 crystal, from Alexandria.

Cell and atoms, written as CIF:
```
data_LiCrHg2
_cell_length_a 8.902
_cell_length_b 3.276
_cell_length_c 5.640
_cell_angle_alpha 90.00
_cell_angle_beta 101.49
_cell_angle_gamma 90.00
_space_group_name_H-M_alt 'C 1 2/m 1'
_space_group_IT_number 12
_space_group_name_Hall '-C 2y'
loop_
_atom_site_label
_atom_site_type_symbol
_atom_site_fract_x
_atom_site_fract_y
_atom_site_fract_z
Li1 Li 0.000 0.000 0.000
Cr1 Cr 0.000 0.500 0.500
Hg1 Hg 0.248 0.000 0.754
```

Summary:
- Energy of formation: 0.732 eV/f.u.
- Fermi-level density of states: 3.9 states/eV/cell

=====

[3]
The following is a GGA-PBE calculation of a relaxed TiGa2S6 crystal, from Alexandria.

Cell and atoms, written as CIF:
```
data_TiGa2S6
_cell_length_a 11.168
_cell_length_b 11.363
_cell_length_c 6.788
_cell_angle_alpha 90.00
_cell_angle_beta 104.35
_cell_angle_gamma 90.00
_space_group_name_H-M_alt 'C 1 2/c 1'
_space_group_IT_number 15
_space_group_name_Hall '-C 2yc'
loop_
_atom_site_label
_atom_site_type_symbol
_atom_site_fract_x
_atom_site_fract_y
_atom_site_fract_z
Ti1 Ti 0.000 0.103 0.250
Ga1 Ga 0.186 0.408 0.316
S1 S 0.075 0.447 0.576
S2 S 0.111 0.057 0.601
S3 S 0.157 0.224 0.199
```

Summary:
- Formation energy without anion corrections: -0.65 eV per atom

=====

[4]
The following is a GGA-PBE calculation of a relaxed Pr2Y8Cd crystal, from Alexandria.

Cell and atoms, written as CIF:
```
data_Pr2Y8Cd
_cell_length_a 18.544
_cell_length_b 6.868
_cell_length_c 5.806
_cell_angle_alpha 90.00
_cell_angle_beta 92.02
_cell_angle_gamma 90.00
_space_group_name_H-M_alt 'C 1 2/m 1'
_space_group_IT_number 12
_space_group_name_Hall '-C 2y'
loop_
_atom_site_label
_atom_site_type_symbol
_atom_site_fract_x
_atom_site_fract_y
_atom_site_fract_z
Pr1 Pr 0.221 0.000 0.257
Y1 Y 0.051 0.000 0.233
Y2 Y 0.122 0.240 0.744
Y3 Y 0.169 0.500 0.234
Cd1 Cd 0.000 0.500 0.000
```

Summary:
- Energy of formation: 1.086 eV/f.u.
- Fermi-level density of states: 34.2 states/eV/cell
- Excess energy over the best structure of this formula in the dataset: 2.62 kcal/mol of atoms

=====

[5]
The following is a GGA-PBE calculation of a relaxed NaLaNb2O7 crystal, from Alexandria.

Cell and atoms, written as CIF:
```
data_NaLaNb2O7
_cell_length_a 3.938
_cell_length_b 3.938
_cell_length_c 21.600
_cell_angle_alpha 90.00
_cell_angle_beta 90.00
_cell_angle_gamma 90.00
_space_group_name_H-M_alt 'I -4 m 2'
_space_group_IT_number 119
_space_group_name_Hall 'I -4 -2'
loop_
_atom_site_label
_atom_site_type_symbol
_atom_site_fract_x
_atom_site_fract_y
_atom_site_fract_z
Na1 Na 0.000 0.000 0.000
La1 La 0.000 0.500 0.750
Nb1 Nb 0.000 0.500 0.144
O1 O 0.000 0.000 0.164
O2 O 0.000 0.000 0.335
O3 O 0.000 0.500 0.060
O4 O 0.000 0.500 0.250
```

Summary:
- Formation energy without anion corrections: -2.74 eV per atom
- Fermi-level density of states: 0.0 states/eV/cell

=====

| no. | spin magnetization (Bohr magnetons per cell) | DFT total energy (eV per atom) |
| --- | --- | --- |
| 1 | 0.000 | -5.28 |
| 2 | 8.479 | -2.85 |
| 3 | 0.000 | -4.95 |
| 4 | 0.000 | -5.55 |
| 5 | 0.000 | -8.29 |